# 1
A relaxed PaCdPd3 crystal, computed with PBE-GGA.

Unit cell a=5.184 b=5.417 c=7.625 alpha=110.81 beta=90.00 gamma=90.00
Sites, in units of the cell vectors:
1 Pa 0.750 0.813 0.626
2 Pa 0.250 0.187 0.374
3 Cd 0.750 0.449 0.898
4 Cd 0.250 0.551 0.102
5 Pd 0.000 0.000 0.000
6 Pd 0.250 0.106 0.708
7 Pd 0.250 0.602 0.708
8 Pd 0.750 0.894 0.292
9 Pd 0.500 0.000 0.000
10 Pd 0.750 0.398 0.292

Results
excess energy over the best structure of this formula in the dataset	60	meV/atom
E_form	-396	meV per atom
SG	Cmcm, No. 63



# 2
A relaxed PaCdPd2 crystal, computed with PBE-GGA.

Unit cell a=4.838 b=4.838 c=4.838 alpha=60.00 beta=60.00 gamma=60.00
Sites, in units of the cell vectors:
1 Pd 0.250 0.250 0.250
2 Pd 0.750 0.750 0.750
3 Pa 0.000 0.000 0.000
4 Cd 0.500 0.500 0.500

Results
excess energy over the best structure of this formula in the dataset	2	meV/atom
E_form	-462	meV per atom
SG	Fm-3m, No. 225



# 3
A relaxed PaCdPdPt crystal, computed with PBE-GGA.

Unit cell a=4.838 b=4.838 c=4.838 alpha=60.00 beta=60.00 gamma=60.00
Sites, in units of the cell vectors:
1 Pd 0.250 0.250 0.250
2 Pt 0.750 0.750 0.750
3 Cd 0.500 0.500 0.500
4 Pa 0.000 0.000 0.000

Results
E_form	-627	meV per atom
SG	F-43m, No. 216



# 4
A relaxed PaCdPdRh crystal, computed with PBE-GGA.

Unit cell a=4.793 b=4.793 c=4.793 alpha=60.00 beta=60.00 gamma=60.00
Sites, in units of the cell vectors:
1 Rh 0.000 0.000 0.000
2 Pa 0.250 0.250 0.250
3 Cd 0.750 0.750 0.750
4 Pd 0.500 0.500 0.500

Results
E_form	-483	meV per atom
SG	F-43m, No. 216



# 5
A relaxed PaCdPdRu crystal, computed with PBE-GGA.

Unit cell a=4.773 b=4.773 c=4.773 alpha=60.00 beta=60.00 gamma=60.00
Sites, in units of the cell vectors:
1 Pd 0.250 0.250 0.250
2 Pa 0.000 0.000 0.000
3 Cd 0.500 0.500 0.500
4 Ru 0.750 0.750 0.750

Results
E_form	-295	meV per atom
SG	F-43m, No. 216



# 6
A relaxed PaCdSbPd crystal, computed with PBE-GGA.

Unit cell a=5.047 b=5.047 c=5.047 alpha=60.00 beta=60.00 gamma=60.00
Sites, in units of the cell vectors:
1 Sb 0.500 0.500 0.500
2 Pd 0.000 0.000 0.000
3 Pa 0.250 0.250 0.250
4 Cd 0.750 0.750 0.750

Results
SG	F-43m, No. 216
DFT total energy	-5.1601	eV/atom



# 7
A relaxed PaCdSnPd crystal, computed with PBE-GGA.

Unit cell a=4.991 b=4.991 c=4.991 alpha=60.00 beta=60.00 gamma=60.00
Sites, in units of the cell vectors:
1 Pa 0.500 0.500 0.500
2 Cd 0.750 0.750 0.750
3 Pd 0.250 0.250 0.250
4 Sn 0.000 0.000 0.000

Results
E_form	-205	meV per atom
SG	F-43m, No. 216



# 8
A relaxed PaCdTcPd crystal, computed with PBE-GGA.

Unit cell a=4.771 b=4.771 c=4.771 alpha=60.00 beta=60.00 gamma=60.00
Sites, in units of the cell vectors:
1 Pa 0.750 0.750 0.750
2 Pd 0.000 0.000 0.000
3 Cd 0.250 0.250 0.250
4 Tc 0.500 0.500 0.500

Results
E_form	-148	meV per atom
SG	F-43m, No. 216



# 9
A relaxed PaZnCdPd crystal, computed with PBE-GGA.

Unit cell a=4.834 b=4.834 c=4.834 alpha=60.00 beta=60.00 gamma=60.00
Sites, in units of the cell vectors:
1 Pd 0.500 0.500 0.500
2 Cd 0.750 0.750 0.750
3 Pa 0.250 0.250 0.250
4 Zn 0.000 0.000 0.000

Results
E_form	-236	meV per atom
SG	F-43m, No. 216



# 10
A relaxed Pm2PaCd crystal, computed with PBE-GGA.

Unit cell a=3.449 b=5.689 c=5.689 alpha=90.00 beta=90.00 gamma=90.00
Sites, in units of the cell vectors:
1 Cd 0.500 0.500 0.500
2 Pm 0.000 0.500 0.000
3 Pm 0.000 0.000 0.500
4 Pa 0.500 0.000 0.000

Results
excess energy over the best structure of this formula in the dataset	95	meV/atom
E_form	70	meV per atom
SG	P4/mmm, No. 123



# 11
A relaxed Pm2PaCd crystal, computed with PBE-GGA.

Unit cell a=5.425 b=5.425 c=5.425 alpha=60.00 beta=60.00 gamma=60.00
Sites, in units of the cell vectors:
1 Pa 0.000 0.000 0.000
2 Cd 0.500 0.500 0.500
3 Pm 0.250 0.250 0.250
4 Pm 0.750 0.750 0.750

Results
excess energy over the best structure of this formula in the dataset	285	meV/atom
E_form	261	meV per atom
SG	Fm-3m, No. 225



# 12
A relaxed Pm2PaCd crystal, computed with PBE-GGA.

Unit cell a=3.408 b=3.408 c=12.255 alpha=82.01 beta=82.01 gamma=60.00
Sites, in units of the cell vectors:
1 Cd 0.000 0.000 0.000
2 Pm 0.090 0.090 0.730
3 Pm 0.910 0.910 0.270
4 Pa 0.500 0.500 0.500

Results
excess energy over the best structure of this formula in the dataset	255	meV/atom
E_form	231	meV per atom
SG	R-3m, No. 166



# 13
A relaxed Pm2PaCd crystal, computed with PBE-GGA.

Unit cell a=3.473 b=3.473 c=9.408 alpha=90.00 beta=90.00 gamma=90.00
Sites, in units of the cell vectors:
1 Pa 0.500 0.500 0.500
2 Pm 0.000 0.000 0.758
3 Pm 0.000 0.000 0.242
4 Cd 0.500 0.500 0.000

Results
excess energy over the best structure of this formula in the dataset	0	meV/atom
E_form	-24	meV per atom
SG	P4/mmm, No. 123